Material: CoH2SeO5
Method: DFT, GGA+U
State: optimized geometry

Values from the calculation:
Total DFT energy (no corrections) in eV per atom: -5.36
Magnetization in Bohr magnetons per cell: 6.03

Lattice parameters (Å, degrees): 5.416 5.416 7.689 106.49 106.49 98.38
Each line ends with the local moment (μB).
Positions (direct):
Co1 0.500 0.000 0.500  2.74
O1 0.316 0.247 0.653  0.03
O2 0.686 0.289 0.423  0.04
O3 0.314 0.711 0.577  0.04
O4 0.878 0.122 0.750  0.05
Se1 0.418 0.582 0.750  0.02
H1 0.967 0.868 0.297  0.00
Se2 0.582 0.418 0.250  0.02
H2 0.132 0.033 0.203  0.00
O5 0.753 0.684 0.847  0.03
O6 0.711 0.314 0.077  0.04
O7 0.684 0.753 0.347  0.03
H3 0.033 0.132 0.703  0.00
O8 0.247 0.316 0.153  0.03
Co2 0.000 0.500 0.000  2.74
O9 0.122 0.878 0.250  0.05
H4 0.868 0.967 0.797  0.00
O10 0.289 0.686 0.923  0.04